Record 1
Material: ScCrCo2W
Method: DFT, PBE
State: relaxed

total magnetization: 0.40 Bohr magnetons per cell
mass density: 8.56 Mg/m³
ΔH_f (0 K): 1239 meV per atom
uncorrected energy: -7.385 eV per atom

a b c (Å): 4.158 4.158 4.475
angles (deg): 90.00 90.00 90.00
Space group P4/mmm (No. 123)
Symmetry-distinct sites (fractional):
Sc: 0.000 0.000 0.000 [1 per cell]
Cr: 0.000 0.000 0.500 [1 per cell]
Co: 0.000 0.500 0.500 [2 per cell]
W: 0.500 0.500 0.000 [1 per cell]

***

Record 2
Material: Sr3Cd2In2Hg4
Method: DFT, PBE
State: relaxed

total magnetization: 0.00 Bohr magnetons per cell
mass density: 7.78 Mg/m³
ΔH_f (0 K): -376 meV per atom
uncorrected energy: -1.608 eV per atom

a b c (Å): 5.1044 5.1044 14.3816
angles (deg): 90.00 90.00 120.00
Space group P-3m1 (No. 164)
Symmetry-distinct sites (fractional):
Sr: 0.0000 0.0000 0.0000 [1 per cell]
Sr: 0.0000 0.0000 0.2775 [2 per cell]
Cd: 0.3333 0.6667 0.5740 [2 per cell]
In: 0.3333 0.6667 0.1418 [2 per cell]
Hg: 0.3333 0.6667 0.3733 [2 per cell]
Hg: 0.3333 0.6667 0.8719 [2 per cell]

***

Record 3
Material: GaWSeBr2
Method: DFT, PBE
State: relaxed

relative energy among the computed polymorphs: 829 meV/atom
E_form (uncorrected): 4.956 eV per formula unit
total magnetization: 4.36 Bohr magnetons per cell
mass density: 6.22 Mg/m³
uncorrected energy: -3.571 eV per atom

a b c (Å): 5.003 5.003 5.249
angles (deg): 90.00 90.00 90.00
Space group P4/mmm (No. 123)
Symmetry-distinct sites (fractional):
Ga: 0.000 0.000 0.000 [1 per cell]
W: 0.500 0.500 0.500 [1 per cell]
Se: 0.000 0.000 0.500 [1 per cell]
Br: 0.000 0.500 0.000 [2 per cell]

***

Record 4
Material: Sc2BrCl
Method: DFT, PBE
State: relaxed

relative energy among the computed polymorphs: 416 meV/atom
E_form (uncorrected): -3.422 eV per formula unit
total magnetization: 0.00 Bohr magnetons per cell
mass density: 3.77 Mg/m³
uncorrected energy: -4.901 eV per atom

a b c (Å): 6.604 8.869 3.504
angles (deg): 90.00 118.32 90.00
Space group C2/m (No. 12)
Symmetry-distinct sites (fractional):
Sc: 0.250 0.250 0.000 [4 per cell]
Br: 0.000 0.000 0.000 [2 per cell]
Cl: 0.000 0.500 0.000 [2 per cell]

***

Record 5
Material: Hf5HgOs4
Method: DFT, PBE
State: relaxed

total magnetization: 0.00 Bohr magnetons per cell
mass density: 17.05 Mg/m³
ΔH_f (0 K): -561 meV per atom
uncorrected energy: -10.060 eV per atom

a b c (Å): 3.240 3.240 17.203
angles (deg): 90.00 90.00 90.00
Space group P4/mmm (No. 123)
Symmetry-distinct sites (fractional):
Hf: 0.000 0.000 0.000 [1 per cell]
Hf: 0.000 0.000 0.190 [2 per cell]
Hf: 0.000 0.000 0.380 [2 per cell]
Hg: 0.500 0.500 0.500 [1 per cell]
Os: 0.500 0.500 0.095 [2 per cell]
Os: 0.500 0.500 0.287 [2 per cell]

***

Record 6
Material: Zn3H12Rh5
Method: DFT, PBE
State: relaxed

total magnetization: 0.00 Bohr magnetons per cell
mass density: 7.46 Mg/m³
uncorrected energy: -3.974 eV per atom

a b c (Å): 10.876 10.876 10.876
angles (deg): 90.00 90.00 90.00
Space group Ia-3d (No. 230)
Symmetry-distinct sites (fractional):
Zn: 0.000 0.250 0.125 [24 per cell]
H: 0.026 0.064 0.646 [96 per cell]
Rh: 0.000 0.000 0.000 [16 per cell]
Rh: 0.000 0.250 0.375 [24 per cell]

***

Record 7
Material: BeCuRu2
Method: DFT, PBE
State: relaxed

total magnetization: 0.00 Bohr magnetons per cell
mass density: 9.48 Mg/m³
ΔH_f (0 K): 157 meV per atom
uncorrected energy: -6.437 eV per atom

a b c (Å): 4.071 4.071 2.905
angles (deg): 90.00 90.00 90.00
Space group P4/mmm (No. 123)
Symmetry-distinct sites (fractional):
Be: 0.000 0.000 0.000 [1 per cell]
Cu: 0.500 0.500 0.000 [1 per cell]
Ru: 0.000 0.500 0.500 [2 per cell]

***

Record 8
Material: TiTlRh2
Method: DFT, PBE
State: relaxed

total magnetization: 0.00 Bohr magnetons per cell
mass density: 11.36 Mg/m³
ΔH_f (0 K): -417 meV per atom
uncorrected energy: -6.658 eV per atom

a b c (Å): 3.095 3.095 6.990
angles (deg): 90.00 90.00 90.00
Space group P4/mmm (No. 123)
Symmetry-distinct sites (fractional):
Ti: 0.000 0.000 0.000 [1 per cell]
Tl: 0.000 0.000 0.500 [1 per cell]
Rh: 0.500 0.500 0.211 [2 per cell]

***

Record 9
Material: CrAsRuSe2
Method: DFT, PBE
State: relaxed

relative energy among the computed polymorphs: 0 meV/atom
E_form (uncorrected): 4.315 eV per formula unit
total magnetization: 0.36 Bohr magnetons per cell
mass density: 6.59 Mg/m³
uncorrected energy: -5.241 eV per atom

a b c (Å): 4.601 4.601 4.595
angles (deg): 90.00 90.00 90.00
Space group P4/mmm (No. 123)
Symmetry-distinct sites (fractional):
Cr: 0.000 0.000 0.000 [1 per cell]
As: 0.000 0.000 0.500 [1 per cell]
Ru: 0.500 0.500 0.500 [1 per cell]
Se: 0.000 0.500 0.000 [2 per cell]

***

Record 10
Material: Dy2Y2Si4Ir
Method: DFT, PBE
State: relaxed

E_form (uncorrected): -3.410 eV per formula unit
total magnetization: 0.00 Bohr magnetons per cell
mass density: 6.69 Mg/m³
uncorrected energy: -6.233 eV per atom

a b c (Å): 6.867 6.867 8.494
angles (deg): 90.00 90.00 90.00
Space group I4/mmm (No. 139)
Symmetry-distinct sites (fractional):
Dy: 0.000 0.000 0.187 [4 per cell]
Y: 0.000 0.500 0.250 [4 per cell]
Si: 0.247 0.247 0.500 [8 per cell]
Ir: 0.000 0.000 0.500 [2 per cell]